Below is a relaxed Ba2AcSm crystal, with properties calculated at the PBE-GGA level.

Calculated values
Total energy, eV per atom: -2.856
Fermi-level density of states, states/eV per cell: 6.95
Formation enthalpy at 0 K, meV per atom: 312

Unit cell a=3.917 b=3.917 c=14.382 alpha=82.17 beta=82.17 gamma=60.00
Atoms (fractional coordinates):
1 Ac 0.500 0.500 0.500
2 Ba 0.085 0.085 0.746
3 Ba 0.915 0.915 0.254
4 Sm 0.000 0.000 0.000

Below is a relaxed BaAcSm2 crystal, with properties calculated at the PBE-GGA level.

Calculated values
Total energy, eV per atom: -3.717
Fermi-level density of states, states/eV per cell: 6.56
Formation enthalpy at 0 K, meV per atom: 150

Unit cell a=3.874 b=3.874 c=12.860 alpha=81.34 beta=81.34 gamma=60.00
Atoms (fractional coordinates):
1 Ba 0.666 0.666 0.001
2 Ac 0.500 0.500 0.499
3 Sm 0.087 0.087 0.740
4 Sm 0.247 0.247 0.260